The following is a DFT calculation (PBE) of a geometry-optimized In2Se2Br structure.

Lattice parameters (Å, degrees): 8.0240 8.0240 3.7587 90.00 90.00 90.00
Closest atoms and distances in Å follow each position.
Fractional coordinates of all 10 atoms:
In 0.8335 0.6665 0.0000  6 Se 2.86-3.12, 2 Br 2.99
Br 0.0000 0.0000 0.0000  4 In 2.99
In 0.1665 0.3335 0.0000  6 Se 2.86-3.12, 2 Br 2.99
Se 0.3570 0.1430 0.5000  6 In 2.86-3.12
Se 0.6430 0.8570 0.5000  6 In 2.86-3.12
Br 0.5000 0.5000 0.0000  4 In 2.99
In 0.6665 0.1665 0.0000  6 Se 2.86-3.12, 2 Br 2.99
Se 0.8570 0.3570 0.5000  6 In 2.86-3.12
In 0.3335 0.8335 0.0000  6 Se 2.86-3.12, 2 Br 2.99
Se 0.1430 0.6430 0.5000  6 In 2.86-3.12

- density (g cm⁻³) = 6.4
- raw formation energy (eV/atom) = -0.316
- excess energy over the best structure of this formula in the dataset (meV/atom) = 192



The following is a DFT calculation (PBE) of a geometry-optimized In2Se2Br structure.

Lattice parameters (Å, degrees): 8.6098 8.6098 8.2818 121.32 121.32 90.00
Closest atoms and distances in Å follow each position.
Fractional coordinates of all 10 atoms:
In 0.4106 0.6154 0.8213  3 Se 2.69-2.71, 1 Br 2.75
Se 0.6462 0.3845 0.2925  3 In 2.69-2.71
In 0.4106 0.2058 0.8213  3 Se 2.69-2.71, 1 Br 2.75
Se 0.6345 0.3962 0.7925  3 In 2.69-2.71
In 0.4558 0.1606 0.3213  3 Se 2.69-2.71, 1 Br 2.75
Br 0.3169 0.8169 0.6338  2 In 2.75
Se 0.1580 0.3962 0.7925  3 In 2.69-2.71
Se 0.6462 0.9080 0.2925  3 In 2.69-2.71
Br 0.0669 0.0669 0.1338  2 In 2.75
In 0.8654 0.1606 0.3213  3 Se 2.69-2.71, 1 Br 2.75

- density (g cm⁻³) = 3.7
- raw formation energy (eV/atom) = -0.446
- excess energy over the best structure of this formula in the dataset (meV/atom) = 62



The following is a DFT calculation (PBE) of a geometry-optimized InSe2Br structure.

Lattice parameters (Å, degrees): 7.4292 7.4292 7.4292 148.50 148.50 45.15
Closest atoms and distances in Å follow each position.
Fractional coordinates of all 4 atoms:
Se 0.0000 0.0000 0.0000  4 Se 2.85
Br 0.2500 0.7500 0.5000  4 In 2.85
Se 0.5000 0.5000 0.0000  4 Se 2.85
In 0.7500 0.2500 0.5000  4 Br 2.85

- density (g cm⁻³) = 5.2
- raw formation energy (eV/atom) = -0.046
- excess energy over the best structure of this formula in the dataset (meV/atom) = 374



The following is a DFT calculation (PBE) of a geometry-optimized InSe2Br structure.

Lattice parameters (Å, degrees): 5.1258 5.1258 3.5832 90.00 90.00 90.00
Closest atoms and distances in Å follow each position.
Fractional coordinates of all 4 atoms:
Se 0.0000 0.0000 0.0000  4 In 3.13, 4 Br 3.13
Br 0.5000 0.0000 0.5000  8 Se 3.13
Se 0.5000 0.5000 0.0000  4 In 3.13, 4 Br 3.13
In 0.0000 0.5000 0.5000  8 Se 3.13

- density (g cm⁻³) = 6.2
- raw formation energy (eV/atom) = 0.309
- excess energy over the best structure of this formula in the dataset (meV/atom) = 728



The following is a DFT calculation (PBE) of a geometry-optimized InSeBr3 structure.

Lattice parameters (Å, degrees): 6.9510 7.2271 7.7538 115.40 101.32 95.44
Closest atoms and distances in Å follow each position.
Fractional coordinates of all 10 atoms:
Se 0.0299 0.8396 0.4716  1 Se 2.26
Se 0.9701 0.1604 0.5284  1 Se 2.26
In 0.2046 0.8870 0.8528  5 Br 2.71-2.78, 1 Se 2.82
Br 0.8855 0.7296 0.9408  2 In 2.73-2.75
In 0.7954 0.1130 0.1472  5 Br 2.71-2.78, 1 Se 2.82
Br 0.2790 0.5050 0.6357  1 In 2.71, 1 Se 2.83
Br 0.7210 0.4950 0.3643  1 In 2.71, 1 Se 2.83
Br 0.1145 0.2704 0.0592  2 In 2.73-2.75
Br 0.5454 0.0789 0.8103  2 In 2.74-2.78
Br 0.4546 0.9211 0.1897  2 In 2.74-2.78

- density (g cm⁻³) = 4.3
- raw formation energy (eV/atom) = -0.546
- excess energy over the best structure of this formula in the dataset (meV/atom) = 20



The following is a DFT calculation (PBE) of a geometry-optimized InSe2Br structure.

Lattice parameters (Å, degrees): 5.1538 5.1538 5.1299 69.26 69.26 106.55
Closest atoms and distances in Å follow each position.
Fractional coordinates of all 4 atoms:
In 0.0000 0.5000 0.5000  4 Se 2.92, 2 Br 3.08
Se 0.0000 0.0000 0.0000  2 In 2.92, 2 Br 2.92, 2 Se 3.08
Br 0.5000 0.0000 0.5000  4 Se 2.92, 2 In 3.08
Se 0.5000 0.5000 0.0000  2 Br 2.92, 2 In 2.92, 2 Se 3.08

- density (g cm⁻³) = 5.6
- raw formation energy (eV/atom) = -0.010
- excess energy over the best structure of this formula in the dataset (meV/atom) = 410



The following is a DFT calculation (PBE) of a geometry-optimized InSeBr2 structure.

Lattice parameters (Å, degrees): 8.1105 8.1105 4.3970 74.51 74.51 27.47
Closest atoms and distances in Å follow each position.
Fractional coordinates of all 4 atoms:
Br 0.9927 0.9927 0.0055  4 In 3.13-3.14
Br 0.7314 0.7314 0.7703  4 Se 2.94
In 0.5676 0.5676 0.4310  2 Se 2.87, 4 Br 3.13-3.14
Se 0.2082 0.2082 0.2932  2 In 2.87, 4 Br 2.94

- density (g cm⁻³) = 4.6
- raw formation energy (eV/atom) = -0.187
- excess energy over the best structure of this formula in the dataset (meV/atom) = 140



The following is a DFT calculation (PBE) of a geometry-optimized InSe2Br structure.

Lattice parameters (Å, degrees): 6.0305 6.0305 6.0305 143.13 105.05 86.58
Closest atoms and distances in Å follow each position.
Fractional coordinates of all 4 atoms:
In 0.2480 0.7480 0.5000  2 Br 2.81, 2 Se 3.05
Br 0.4827 0.4827 0.0000  2 In 2.81
Se 0.7920 0.2920 0.5000  2 Se 2.51
Se 0.9773 0.9773 0.0000  2 Se 2.51

- density (g cm⁻³) = 4.8
- raw formation energy (eV/atom) = -0.139
- excess energy over the best structure of this formula in the dataset (meV/atom) = 281